# 1
Entry from Alexandria: a relaxed structure of Ce2Si3Pt4Rh (PBE).

Properties
DOS(E_F) = 9.0 states/eV/f.u.
total magnetic moment = 0.00 μB per cell
raw total energy = -6.919 eV per atom
formation energy from raw total energies = -954 meV per atom

```
Ce2Si3Pt4Rh
1.0
4.050 0.000 0.000
0.000 4.050 0.000
0.000 0.000 10.979
Ce Si Pt Rh
2 3 4 1
direct
0.500 0.000 0.259 Ce
0.000 0.500 0.741 Ce
0.000 0.000 0.500 Si
0.500 0.000 0.874 Si
0.000 0.500 0.126 Si
0.500 0.500 0.000 Pt
0.000 0.000 0.000 Pt
0.500 0.000 0.660 Pt
0.000 0.500 0.340 Pt
0.500 0.500 0.500 Rh
```

# 2
Entry from Alexandria: a relaxed structure of Ce4Si3PtRh12 (PBE).

Properties
DOS(E_F) = 31.6 states/eV/f.u.
total magnetic moment = 2.18 μB per cell
raw total energy = -7.070 eV per atom
formation energy from raw total energies = -357 meV per atom

```
Ce4Si3PtRh12
1.0
-3.706 3.328 6.159
-2.881 -7.281 -1.195
7.762 -0.448 1.517
Ce Si Pt Rh
4 3 1 12
direct
0.500 0.500 0.500 Ce
0.000 0.000 0.500 Ce
0.500 0.000 0.000 Ce
0.000 0.500 0.000 Ce
0.500 0.000 0.500 Si
0.500 0.500 0.000 Si
0.000 0.500 0.500 Si
0.000 0.000 0.000 Pt
0.250 0.500 0.750 Rh
0.733 0.000 0.733 Rh
0.267 0.000 0.267 Rh
0.750 0.500 0.250 Rh
0.733 0.733 0.000 Rh
0.267 0.267 0.000 Rh
0.750 0.250 0.500 Rh
0.250 0.750 0.500 Rh
0.500 0.250 0.750 Rh
0.000 0.733 0.733 Rh
0.500 0.750 0.250 Rh
0.000 0.267 0.267 Rh
```

# 3
Entry from Alexandria: a relaxed structure of CeSi2PtRh5 (PBE).

Properties
DOS(E_F) = 9.1 states/eV/f.u.
total magnetic moment = 0.00 μB per cell
raw total energy = -6.988 eV per atom
formation energy from raw total energies = -369 meV per atom

```
CeSi2PtRh5
1.0
-0.302 3.003 3.400
-1.669 -3.242 2.715
6.621 -1.677 2.069
Ce Si Pt Rh
1 2 1 5
direct
0.000 0.000 0.500 Ce
0.500 0.500 0.166 Si
0.500 0.500 0.834 Si
0.000 0.000 0.000 Pt
0.000 0.500 0.225 Rh
0.500 0.000 0.225 Rh
0.000 0.500 0.775 Rh
0.500 0.000 0.775 Rh
0.500 0.500 0.500 Rh
```

# 4
Entry from Alexandria: a relaxed structure of Ce2Si4PtRh3 (PBE).

Properties
DOS(E_F) = 7.6 states/eV/f.u.
total magnetic moment = 0.00 μB per cell
raw total energy = -7.212 eV per atom
formation energy from raw total energies = -1047 meV per atom

```
Ce2Si4PtRh3
1.0
-1.569 -2.644 2.752
0.948 -3.152 -2.488
9.016 -0.766 4.406
Ce Si Pt Rh
2 4 1 3
direct
0.500 0.000 0.241 Ce
0.000 0.500 0.759 Ce
0.500 0.500 0.000 Si
0.000 0.000 0.000 Si
0.500 0.000 0.636 Si
0.000 0.500 0.364 Si
0.500 0.500 0.500 Pt
0.000 0.000 0.500 Rh
0.500 0.000 0.874 Rh
0.000 0.500 0.126 Rh
```

# 5
Entry from Alexandria: a relaxed structure of Ce3Si6PtRh2 (PBE).

Properties
DOS(E_F) = 14.6 states/eV/f.u.
total magnetic moment = 1.11 μB per cell
raw total energy = -6.441 eV per atom
formation energy from raw total energies = -517 meV per atom

```
Ce3Si6PtRh2
1.0
-1.992 3.488 -4.266
-0.745 -5.800 -0.370
-6.644 0.623 3.612
Ce Si Pt Rh
3 6 1 2
direct
0.333 0.667 0.654 Ce
0.667 0.333 0.346 Ce
0.000 0.000 0.000 Ce
0.611 0.806 0.295 Si
0.194 0.389 0.295 Si
0.194 0.806 0.295 Si
0.806 0.611 0.705 Si
0.389 0.194 0.705 Si
0.806 0.194 0.705 Si
0.000 0.000 0.500 Pt
0.667 0.333 0.964 Rh
0.333 0.667 0.036 Rh
```

# 6
Entry from Alexandria: a relaxed structure of CeSnPtRh (PBE).

Properties
DOS(E_F) = 4.6 states/eV/f.u.
total magnetic moment = 0.00 μB per cell
raw total energy = -6.564 eV per atom

```
CeSnPtRh
1.0
4.841 0.000 0.000
2.421 4.193 0.000
2.421 1.398 3.953
Rh Ce Pt Sn
1 1 1 1
direct
0.250 0.250 0.250 Rh
0.500 0.500 0.500 Ce
0.750 0.750 0.750 Pt
0.000 0.000 0.000 Sn
```

# 7
Entry from Alexandria: a relaxed structure of TbCe2PtRh5 (PBE).

Properties
DOS(E_F) = 8.4 states/eV/f.u.
total magnetic moment = 0.00 μB per cell
raw total energy = -7.012 eV per atom

```
TbCe2PtRh5
1.0
-3.429 -6.467 -3.483
4.378 -4.886 4.762
-4.453 5.766 3.110
Tb Ce Pt Rh
2 4 2 10
direct
0.250 0.250 0.500 Tb
0.750 0.750 0.500 Tb
0.138 0.362 0.000 Ce
0.638 0.138 0.000 Ce
0.362 0.862 0.000 Ce
0.862 0.638 0.000 Ce
0.250 0.750 0.500 Pt
0.750 0.250 0.500 Pt
0.936 0.436 0.273 Rh
0.663 0.163 0.727 Rh
0.064 0.564 0.727 Rh
0.163 0.064 0.727 Rh
0.564 0.663 0.727 Rh
0.837 0.936 0.273 Rh
0.436 0.337 0.273 Rh
0.337 0.837 0.273 Rh
0.500 0.500 0.000 Rh
0.000 0.000 0.000 Rh
```

# 8
Entry from Alexandria: a relaxed structure of CeThPtRh (PBE).

Properties
DOS(E_F) = 8.7 states/eV/f.u.
offset from the most stable computed form = 182 meV/atom
total magnetic moment = 0.80 μB per cell
raw total energy = -7.522 eV per atom

```
CeThPtRh
1.0
-2.374 -3.931 2.076
-1.228 -3.984 -2.831
2.429 -4.373 0.615
Ce Rh Pt Th
1 1 1 1
direct
0.000 0.000 0.000 Ce
0.250 0.250 0.250 Rh
0.750 0.750 0.750 Pt
0.500 0.500 0.500 Th
```

# 9
Entry from Alexandria: a relaxed structure of CeThPtRh (PBE).

Properties
DOS(E_F) = 6.1 states/eV/f.u.
offset from the most stable computed form = 0 meV/atom
total magnetic moment = 0.53 μB per cell
raw total energy = -7.704 eV per atom

```
CeThPtRh
1.0
3.887 0.000 0.000
0.000 4.305 0.000
-1.943 0.000 5.602
Ce Th Pt Rh
1 1 1 1
direct
0.140 0.000 0.279 Ce
0.866 0.500 0.732 Th
0.594 0.500 0.189 Pt
0.400 0.000 0.800 Rh
```

# 10
Entry from Alexandria: a relaxed structure of Ce2ThPtRh5 (PBE).

Properties
DOS(E_F) = 9.4 states/eV/f.u.
total magnetic moment = 0.00 μB per cell
raw total energy = -7.400 eV per atom

```
Ce2ThPtRh5
1.0
8.180 0.000 0.000
0.000 8.180 0.000
-4.090 -4.090 5.438
Ce Th Pt Rh
4 2 2 10
direct
0.135 0.365 0.000 Ce
0.635 0.135 0.000 Ce
0.365 0.865 0.000 Ce
0.865 0.635 0.000 Ce
0.250 0.250 0.500 Th
0.750 0.750 0.500 Th
0.250 0.750 0.500 Pt
0.750 0.250 0.500 Pt
0.936 0.436 0.273 Rh
0.663 0.163 0.727 Rh
0.064 0.564 0.727 Rh
0.163 0.064 0.727 Rh
0.564 0.663 0.727 Rh
0.837 0.936 0.273 Rh
0.436 0.337 0.273 Rh
0.337 0.837 0.273 Rh
0.500 0.500 0.000 Rh
0.000 0.000 0.000 Rh
```

# 11
Entry from Alexandria: a relaxed structure of CeTlPtRh (PBE).

Properties
DOS(E_F) = 3.6 states/eV/f.u.
total magnetic moment = 0.00 μB per cell
raw total energy = -5.970 eV per atom

```
CeTlPtRh
1.0
-1.605 -2.416 3.907
2.175 -4.132 1.368
2.678 -0.111 4.062
Tl Rh Ce Pt
1 1 1 1
direct
0.000 0.000 0.000 Tl
0.250 0.250 0.250 Rh
0.500 0.500 0.500 Ce
0.750 0.750 0.750 Pt
```

# 12
Entry from Alexandria: a relaxed structure of CeTmPtRh (PBE).

Properties
DOS(E_F) = 4.8 states/eV/f.u.
offset from the most stable computed form = 0 meV/atom
total magnetic moment = 0.15 μB per cell
raw total energy = -6.998 eV per atom

```
CeTmPtRh
1.0
-3.091 -1.687 1.353
0.460 -3.094 -2.807
4.638 -1.948 2.907
Ce Tm Pt Rh
1 1 1 1
direct
0.864 0.500 0.729 Ce
0.141 0.000 0.282 Tm
0.590 0.500 0.181 Pt
0.404 0.000 0.808 Rh
```